<A>
Entry from Alexandria: Sm5Y5Ho2 after structural relaxation (PBE).

Cell and atoms, written as POSCAR:
```
Sm5Y5Ho2
1.0
7.6018 -2.5388 0.0000
7.6018 2.5388 0.0000
-5.0730 0.0000 10.1414
Sm Y Ho
5 5 2
Cartesian
0.0000 0.0000 0.0000
-2.5486 0.0000 7.6037
-0.0013 0.0000 5.0645
10.1319 0.0000 5.0769
12.6792 0.0000 2.5377
2.5206 0.0000 2.5248
-0.0004 0.0000 10.1380
5.0653 0.0000 5.0707
10.1310 0.0000 0.0034
7.6100 0.0000 7.6166
2.5302 0.0000 7.6050
7.6004 0.0000 2.5364
```

Values from the calculation:
symmetry: C2/m

***

<B>
Entry from Alexandria: Sm5Y5Ho2 after structural relaxation (PBE).

Cell and atoms, written as POSCAR:
```
Sm5Y5Ho2
1.0
5.1973 0.0000 0.0000
2.5975 5.4749 0.0000
2.5901 2.0861 14.0766
Sm Y Ho
5 5 2
Cartesian
0.0000 0.0000 0.0000
2.5944 1.5896 5.9422
2.5953 1.2000 2.3856
7.7895 6.3609 11.6911
7.7904 5.9713 8.1344
2.5944 2.6678 9.8147
5.1881 4.2023 13.1199
5.1924 3.7805 7.0383
5.1967 3.3586 0.9568
7.7904 4.8931 4.2619
5.1920 4.7977 10.0040
5.1928 2.7632 4.0726
```

Values from the calculation:
symmetry: P-1

***

<A> takes first place; second place is 145 meV per atom up.